No. 1
Computed, not measured: a relaxed NdHo2Ag2 crystal at the PBE level of DFT.

Cell lengths 5.238, 4.910, 11.024 Å; angles 90.00, 94.62, 90.00 degrees
Positions (direct):
Nd1 0.199 0.250 0.245
Nd2 0.801 0.750 0.755
Ho1 0.251 0.750 0.495
Ho2 0.342 0.250 0.888
Ho3 0.658 0.750 0.112
Ho4 0.749 0.250 0.505
Ag1 0.146 0.750 0.006
Ag2 0.272 0.250 0.633
Ag3 0.728 0.750 0.367
Ag4 0.854 0.250 0.994

Values from the calculation:
The total energy is -4.0475 eV/atom. The formation energy comes out at -0.122 eV/atom. The value obtained for the density of states at the Fermi level is 11.60 states/eV per cell. As for the symmetry: P2_1/m. As for the magnetization: 0.000 Bohr magnetons per cell.



No. 2
Computed, not measured: a relaxed Rb2HgCl crystal at the PBE level of DFT.

Cell lengths 9.766, 9.766, 9.766 Å; angles 27.52, 27.52, 27.52 degrees
Positions (direct):
Rb1 0.000 0.000 0.000
Rb2 0.192 0.192 0.192
Hg1 0.429 0.429 0.429
Cl1 0.596 0.596 0.596

Values from the calculation:
The total energy is -1.9992 eV/atom. The value obtained for the density of states at the Fermi level is 2.94 states/eV per cell. As for the symmetry: R3m. As for the magnetization: 0.078 Bohr magnetons per cell. As for the energy relative to the elements, uncorrected: -94 kJ per mole of atoms.



No. 3
Computed, not measured: a relaxed Al2ReAs crystal at the PBE level of DFT.

Cell lengths 3.306, 3.306, 5.478 Å; angles 90.00, 90.00, 90.00 degrees
Positions (direct):
Al1 0.000 0.000 0.241
Al2 0.000 0.000 0.759
Re1 0.500 0.500 0.000
As1 0.500 0.500 0.500

Values from the calculation:
The total energy is -6.2119 eV/atom. The formation energy comes out at -0.066 eV/atom. The value obtained for the density of states at the Fermi level is 2.57 states/eV per cell. As for the symmetry: P4/mmm. As for the magnetization: 0.000 Bohr magnetons per cell.